! AgSnAs3, PBEsol geometry, DFT SCAN; values from VASP
&SYSTEM
  ibrav = 0, nat = 5, ntyp = 3
/
ATOMIC_SPECIES
As 74.92 As.upf
Ag 107.87 Ag.upf
Sn 118.71 Sn.upf
ATOMIC_POSITIONS crystal
As 0.500 0.000 0.000
As 0.000 0.000 0.500
As 0.000 0.500 0.000
Ag 0.500 0.500 0.500
Sn 0.000 0.000 0.000
CELL_PARAMETERS angstrom
5.168 0.000 0.000
0.000 5.168 0.000
0.000 0.000 5.168
! * E_form: 1.1704 eV/atom
! * magnetization: 0.000 μB per atom

---

! Ag3SnAs, PBEsol geometry, DFT SCAN; values from VASP
&SYSTEM
  ibrav = 0, nat = 5, ntyp = 3
/
ATOMIC_SPECIES
Ag 107.87 Ag.upf
As 74.92 As.upf
Sn 118.71 Sn.upf
ATOMIC_POSITIONS crystal
Ag 0.000 0.500 0.000
Ag 0.500 0.000 0.000
Ag 0.000 0.000 0.500
As 0.000 0.000 0.000
Sn 0.500 0.500 0.500
CELL_PARAMETERS angstrom
-3.923 -2.442 -1.559
1.651 0.272 -4.580
2.381 -4.212 0.608
! * E_form: 0.4186 eV/atom
! * magnetization: 0.000 μB per atom

---

! AgSn2As2, PBEsol geometry, DFT SCAN; values from VASP
&SYSTEM
  ibrav = 0, nat = 5, ntyp = 3
/
ATOMIC_SPECIES
As 74.92 As.upf
Sn 118.71 Sn.upf
Ag 107.87 Ag.upf
ATOMIC_POSITIONS crystal
As 0.334 0.667 0.666
As 0.666 0.333 0.334
Sn 0.250 0.500 0.250
Sn 0.750 0.500 0.750
Ag 0.000 0.000 0.000
CELL_PARAMETERS angstrom
-2.428 -3.622 -3.328
1.309 -1.447 5.141
-3.959 -0.764 3.719
! * E_form: 0.2329 eV/atom
! * magnetization: 0.000 μB per atom

---

! SrAg2As, PBEsol geometry, DFT SCAN; values from VASP
&SYSTEM
  ibrav = 0, nat = 4, ntyp = 3
/
ATOMIC_SPECIES
As 74.92 As.upf
Sr 87.62 Sr.upf
Ag 107.87 Ag.upf
ATOMIC_POSITIONS crystal
As 0.500 0.000 0.000
Sr 0.000 0.500 0.000
Ag 0.742 0.742 0.484
Ag 0.258 0.258 0.516
CELL_PARAMETERS angstrom
4.478 0.000 0.000
0.000 4.269 0.000
-2.239 -2.135 4.533
! * E_form: -0.2636 eV/atom
! * magnetization: 0.000 μB per atom

---

! SrAg3As, PBEsol geometry, DFT SCAN; values from VASP
&SYSTEM
  ibrav = 0, nat = 5, ntyp = 3
/
ATOMIC_SPECIES
Ag 107.87 Ag.upf
As 74.92 As.upf
Sr 87.62 Sr.upf
ATOMIC_POSITIONS crystal
Ag 0.000 0.000 0.500
Ag 0.500 0.000 0.000
Ag 0.000 0.500 0.000
As 0.500 0.500 0.500
Sr 0.000 0.000 0.000
CELL_PARAMETERS angstrom
-2.753 0.033 -4.589
-0.416 -5.331 0.211
-4.570 0.465 2.745
! * E_form: 1.3786 eV/atom
! * magnetization: 0.000 μB per atom

---

! SrAg2As, PBEsol geometry, DFT SCAN; values from VASP
&SYSTEM
  ibrav = 0, nat = 4, ntyp = 3
/
ATOMIC_SPECIES
As 74.92 As.upf
Sr 87.62 Sr.upf
Ag 107.87 Ag.upf
ATOMIC_POSITIONS crystal
As 0.500 0.000 0.500
Sr 0.750 0.500 0.750
Ag 0.000 0.000 0.000
Ag 0.250 0.500 0.250
CELL_PARAMETERS angstrom
4.937 0.000 0.000
-2.468 4.286 0.066
0.000 2.780 4.080
! * E_form: -0.2579 eV/atom
! * magnetization: 0.000 μB per atom

---

Copy entry 4 word for word.
! SrAg2As, PBEsol geometry, DFT SCAN; values from VASP
&SYSTEM
  ibrav = 0, nat = 4, ntyp = 3
/
ATOMIC_SPECIES
As 74.92 As.upf
Sr 87.62 Sr.upf
Ag 107.87 Ag.upf
ATOMIC_POSITIONS crystal
As 0.500 0.000 0.000
Sr 0.000 0.500 0.000
Ag 0.742 0.742 0.484
Ag 0.258 0.258 0.516
CELL_PARAMETERS angstrom
4.478 0.000 0.000
0.000 4.269 0.000
-2.239 -2.135 4.533
! * E_form: -0.2636 eV/atom
! * magnetization: 0.000 μB per atom

---

Look up the magnetization of the first one.
0.000 μB per atom

---

Copy entry 4 word for word.
! SrAg2As, PBEsol geometry, DFT SCAN; values from VASP
&SYSTEM
  ibrav = 0, nat = 4, ntyp = 3
/
ATOMIC_SPECIES
As 74.92 As.upf
Sr 87.62 Sr.upf
Ag 107.87 Ag.upf
ATOMIC_POSITIONS crystal
As 0.500 0.000 0.000
Sr 0.000 0.500 0.000
Ag 0.742 0.742 0.484
Ag 0.258 0.258 0.516
CELL_PARAMETERS angstrom
4.478 0.000 0.000
0.000 4.269 0.000
-2.239 -2.135 4.533
! * E_form: -0.2636 eV/atom
! * magnetization: 0.000 μB per atom